# RbGeB3O7 | Alexandria | SCAN | PBEsol geometry
data_RbGeB3O7
_chemical_formula_sum 'Rb4 Ge4 B12 O28'
_space_group_name_H-M_alt 'P n a 21'
_space_group_IT_number 33
_cell_length_a 9.416
_cell_length_b 9.465
_cell_length_c 6.988
_cell_angle_alpha 90.00
_cell_angle_beta 90.00
_cell_angle_gamma 90.00
loop_
_space_group_symop_operation_xyz
'x,y,z'
'-x,-y,z+1/2'
'-x+1/2,y+1/2,z+1/2'
'x+1/2,-y+1/2,z'
loop_
_atom_site_label
_atom_site_type_symbol
_atom_site_fract_x
_atom_site_fract_y
_atom_site_fract_z
_atom_site_occupancy
Rb1 Rb 0.023 0.172 0.000 1
Ge1 Ge 0.241 0.600 0.018 1
B1 B 0.025 0.274 0.552 1
B2 B 0.150 0.424 0.311 1
B3 B 0.176 0.482 0.643 1
O1 O 0.061 0.317 0.355 1
O2 O 0.084 0.379 0.692 1
O3 O 0.085 0.133 0.592 1
O4 O 0.128 0.739 0.077 1
O5 O 0.191 0.437 0.122 1
O6 O 0.204 0.514 0.450 1
O7 O 0.249 0.567 0.769 1
# density of states at the Fermi level: 0.000 states/eV per atom
# total moment: 0.0 μB/f.u.
# E: -0.4126 Ha/atom